No. 1
VASP calculation (PBE-GGA) on a relaxed structure of Ba2ZnBr6.

Results
The value obtained for the volume is 39.04 Å³/atom. Its energy is -3.32 eV/atom.

Lattice parameters (Å, degrees): 7.1282 7.1282 13.8315 90.00 90.00 90.00
Space group P4_2/mnm (No. 136)
Unique sites:
Ba 0.0000 0.0000 0.1660 (multiplicity 4)
Zn 0.0000 0.0000 0.5000 (multiplicity 2)
Br 0.1807 0.1807 0.3606 (multiplicity 8)
Br 0.2277 0.2277 0.0000 (multiplicity 4)



No. 2
VASP calculation (PBE-GGA) on a relaxed structure of AgTe3Pd.

Results
The value obtained for the volume is 29.92 Å³/atom. Its energy is -3.09 eV/atom.

Lattice parameters (Å, degrees): 5.3086 5.3086 5.3086 90.00 90.00 90.00
Space group Pm-3m (No. 221)
Unique sites:
Ag 0.0000 0.0000 0.0000 (multiplicity 1)
Te 0.0000 0.5000 0.5000 (multiplicity 3)
Pd 0.5000 0.5000 0.5000 (multiplicity 1)



Number 1: uncorrected formation energy -37.830 kcal/mol of atoms, total magnetic moment 0.00 μB/cell. Number 2: uncorrected formation energy 9.303 kcal/mol of atoms, total magnetic moment 0.00 μB/cell.